Compound: ThZr2Mo
Source: Alexandria via LeMat-Bulk
Functional: PBE
Structure: optimized geometry

Unit cell a=10.583 b=10.583 c=10.583 alpha=17.75 beta=17.75 gamma=17.75
Positions (direct):
Th 0.000 0.000 0.000
Zr 0.101 0.101 0.101
Zr 0.899 0.899 0.899
Mo 0.500 0.500 0.500

Results
total DFT energy (no corrections)	-0.3128	Ha/atom
distance to the lowest polymorph of the same formula	286	meV per atom
ΔE_f	326	meV per atom
size of the total moment	0.00	Bohr magnetons per cell
density of states at the Fermi level	4.6	states/eV/cell
SG	R-3m, No. 166